GdCuSnTe3: optimized geometry, PBE-GGA.

Cell and atoms, written as CIF:
```
data_GdCuSnTe3
_symmetry_space_group_name_H-M 'P 1 21/m 1'
_symmetry_Int_Tables_number 11
_cell_length_a 8.3797
_cell_length_b 4.2650
_cell_length_c 10.4790
_cell_angle_alpha 90.00
_cell_angle_beta 105.13
_cell_angle_gamma 90.00
loop_
_symmetry_equiv_pos_as_xyz
'x,y,z'
'-x,-y,-z'
'-x,y+1/2,-z'
'x,-y+1/2,z'
loop_
_atom_site_label
_atom_site_fract_x
_atom_site_fract_y
_atom_site_fract_z
Gd1 0.1990 0.2500 0.1691
Cu1 0.4246 0.7500 0.4144
Sn1 0.2504 0.7500 0.7014
Te1 0.0778 0.2500 0.8577
Te2 0.2460 0.2500 0.4668
Te3 0.4607 0.7500 0.1689
```

- E above lowest polymorph: 22.9 meV/atom
- ρ: 6.64 g cm⁻³
- VASP energy: -4.281 eV per atom
- Total magnetic moment: 0.01 μB/cell

***

GdCuSnTe3: optimized geometry, PBE-GGA.

Cell and atoms, written as CIF:
```
data_GdCuSnTe3
_symmetry_space_group_name_H-M 'P n m a'
_symmetry_Int_Tables_number 62
_cell_length_a 11.2500
_cell_length_b 4.2675
_cell_length_c 14.5006
_cell_angle_alpha 90.00
_cell_angle_beta 90.00
_cell_angle_gamma 90.00
loop_
_symmetry_equiv_pos_as_xyz
'x,y,z'
'-x,-y,-z'
'-x+1/2,-y,z+1/2'
'x+1/2,y,-z+1/2'
'x+1/2,-y+1/2,-z+1/2'
'-x+1/2,y+1/2,z+1/2'
'-x,y+1/2,-z'
'x,-y+1/2,z'
loop_
_atom_site_label
_atom_site_fract_x
_atom_site_fract_y
_atom_site_fract_z
Gd1 0.0220 0.2500 0.2414
Cu1 0.2400 0.2500 0.7226
Sn1 0.2158 0.7500 0.5094
Te1 0.0480 0.2500 0.6100
Te2 0.0909 0.7500 0.0982
Te3 0.2340 0.7500 0.8361
```

- E above lowest polymorph: 0.0 meV/atom
- ρ: 6.89 g cm⁻³
- VASP energy: -4.304 eV per atom
- Total magnetic moment: 0.01 μB/cell